Ti2CdRh2 (meta-GGA SCAN, single point on PBEsol structure); formation enthalpy at 0 K = -508 meV per atom
1.0
-3.5774 -1.4605 -1.3272
1.4017 0.0538 -3.8373
2.8696 -4.1899 3.1645
Ti Rh Cd
2 2 1
direct
0.2500 0.7500 0.5000
0.7500 0.2500 0.5000
0.3825 0.3825 0.7651
0.6175 0.6175 0.2349
0.0000 0.0000 0.0000

***

BaMgF4 (meta-GGA SCAN, single point on PBEsol structure); formation energy (no corrections) = -381.89 kJ per mole of atoms
1.0
-0.4319 -4.1124 -0.3838
3.7733 -0.7941 4.2625
-5.1296 2.1739 4.9458
Ba F Mg
2 8 2
direct
0.8546 0.2500 0.7092
0.1454 0.7500 0.2908
0.3126 0.5107 0.6253
0.6874 0.0107 0.3747
0.3126 0.9893 0.6253
0.6874 0.4893 0.3747
0.5000 0.5000 0.0000
0.5000 0.0000 0.0000
0.9145 0.7500 0.8289
0.0855 0.2500 0.1711
0.4086 0.7500 0.8171
0.5914 0.2500 0.1829

***

InGaAg2S4 (meta-GGA SCAN, single point on PBEsol structure); formation energy (no corrections) = -53.78 kJ per mole of atoms
1.0
-5.4974 0.0295 -1.5644
-0.8594 -4.8327 2.9286
1.9315 5.3118 3.7544
S Ga Ag In
4 1 2 1
direct
0.3665 0.3996 0.2632
0.8967 0.8636 0.2632
0.1364 0.6335 0.7368
0.6004 0.1033 0.7368
0.2500 0.7500 0.5000
0.7500 0.2500 0.5000
0.0000 0.0000 0.0000
0.5000 0.5000 0.0000

***

UGeAu (meta-GGA SCAN, single point on PBEsol structure); formation enthalpy at 0 K = -294 meV per atom
1.0
-4.0530 -2.5583 0.1704
4.1494 -2.1502 -1.0768
0.8812 -1.0324 5.4575
Au Ge U
2 2 2
direct
0.3333 0.6667 0.7500
0.6667 0.3333 0.2500
0.6667 0.3333 0.7500
0.3333 0.6667 0.2500
0.0000 0.0000 0.0000
0.0000 0.0000 0.5000

***

LiTcP (meta-GGA SCAN, single point on PBEsol structure); formation enthalpy at 0 K = 6 meV per atom; offset from the most stable computed form = 342 meV per atom
1.0
2.7893 -0.0255 0.0000
-1.0159 2.5979 0.0000
-0.8867 -1.2862 6.0318
P Tc Li
1 1 1
direct
0.3203 0.3203 0.6406
0.6852 0.6852 0.3704
0.9945 0.9945 0.9890

***

HfBe13 (meta-GGA SCAN, single point on PBEsol structure); formation enthalpy at 0 K = -149 meV per atom
1.0
-5.5150 0.4801 -4.2995
-3.3042 -5.8055 -2.1236
-6.4343 -1.4396 2.3789
Hf Be
2 26
direct
0.2500 0.2500 0.2500
0.7500 0.7500 0.7500
0.7058 0.2942 0.9386
0.9386 0.0614 0.7058
0.0000 0.0000 0.0000
0.5000 0.5000 0.5000
0.0614 0.9386 0.2942
0.5614 0.2058 0.7942
0.7942 0.4386 0.5614
0.2058 0.7942 0.5614
0.7942 0.2058 0.4386
0.2058 0.4386 0.7942
0.5614 0.7942 0.4386
0.7058 0.0614 0.2942
0.9386 0.7058 0.2942
0.7058 0.9386 0.0614
0.2942 0.9386 0.7058
0.0614 0.7058 0.9386
0.0614 0.2942 0.7058
0.9386 0.2942 0.0614
0.2942 0.0614 0.9386
0.4386 0.5614 0.7942
0.2058 0.5614 0.4386
0.4386 0.2058 0.5614
0.7942 0.5614 0.2058
0.4386 0.7942 0.2058
0.5614 0.4386 0.2058
0.2942 0.7058 0.0614

***

Rb3ScF6 (meta-GGA SCAN, single point on PBEsol structure); formation energy (no corrections) = -338.03 kJ per mole of atoms
1.0
-0.9068 -3.4462 -5.2656
1.0217 -5.3301 3.3124
-9.1564 -0.5510 1.9375
Rb Sc F
6 2 12
direct
0.0000 0.5000 0.2500
0.0000 0.5000 0.7500
0.5000 0.0000 0.2500
0.5000 0.0000 0.7500
0.0000 0.0000 0.5000
0.5000 0.5000 0.0000
0.0000 0.0000 0.0000
0.5000 0.5000 0.5000
0.1346 0.2877 0.0000
0.8654 0.7123 0.0000
0.7123 0.1346 0.0000
0.3654 0.7877 0.5000
0.2877 0.8654 0.0000
0.6346 0.2123 0.5000
0.7877 0.6346 0.5000
0.2123 0.3654 0.5000
0.0000 0.0000 0.2157
0.0000 0.0000 0.7843
0.5000 0.5000 0.2843
0.5000 0.5000 0.7157

***

CsSmGeS4 (meta-GGA SCAN, single point on PBEsol structure); formation energy (no corrections) = -142.45 kJ per mole of atoms
1.0
-1.9254 2.2943 5.7449
0.1348 -6.1991 2.5209
16.8719 2.2938 4.7385
Cs Sm Ge S
4 4 4 16
direct
0.4781 0.9937 0.5317
0.5219 0.4937 0.9683
0.0219 0.0063 0.0317
0.9781 0.5063 0.4683
0.7062 0.4807 0.2270
0.7938 0.5193 0.7270
0.2062 0.0193 0.7730
0.2938 0.9807 0.2730
0.2077 0.5147 0.1662
0.7077 0.9853 0.8338
0.7923 0.0147 0.3338
0.2923 0.4853 0.6662
0.8973 0.0791 0.2171
0.5987 0.7425 0.3467
0.3973 0.4209 0.7829
0.9013 0.2575 0.8467
0.4396 0.7541 0.1455
0.4013 0.2425 0.1533
0.0987 0.7575 0.6533
0.9396 0.7459 0.8545
0.0604 0.2459 0.6455
0.9386 0.5120 0.0917
0.5604 0.2541 0.3545
0.1027 0.5791 0.2829
0.6027 0.9209 0.7171
0.5614 0.4880 0.5917
0.4386 0.9880 0.9083
0.0614 0.0120 0.4083